(1)
NaAg2Ir, optimized geometry, DFT PBE; calculated volume = 70.2 Å³ per cell; magnetic moment = 0.00 μB per formula unit; E_form = 1.76 eV per formula unit; space-group type = Fm-3m (225); ΔE to the lowest computed polymorph = 0.0 meV/atom; mass density = 10.20 g/cm³
1.0
0.000 3.274 3.274
3.274 0.000 3.274
3.274 3.274 0.000
Na Ag Ir
1 2 1
direct
0.000 0.000 0.000 Na
0.250 0.250 0.250 Ag
0.750 0.750 0.750 Ag
0.500 0.500 0.500 Ir



(2)
K2SbAu, optimized geometry, DFT PBE; calculated volume = 135.5 Å³ per cell; magnetic moment = 0.00 μB per formula unit; ΔE_f (raw) = -0.135 eV/atom; space-group type = Pmmm (47); mass density = 4.86 g/cm³
1.0
3.118 0.000 0.000
0.000 6.329 0.000
0.000 0.000 6.869
K Sb Au
2 1 1
direct
0.000 0.000 0.000 K
0.500 0.500 0.500 K
0.000 0.000 0.500 Sb
0.500 0.500 0.000 Au



(3)
Nd2EuHo, optimized geometry, DFT PBE; calculated volume = 141.4 Å³ per cell; magnetic moment = 7.27 μB per formula unit; E_form = 0.14 eV per formula unit; space-group type = P4/mmm (123); ΔE to the lowest computed polymorph = 0.0 meV/atom; mass density = 7.11 g/cm³
1.0
3.679 0.000 0.000
0.000 3.679 0.000
0.000 0.000 10.449
Nd Eu Ho
2 1 1
direct
0.000 0.000 0.235 Nd
0.000 0.000 0.765 Nd
0.500 0.500 0.500 Eu
0.500 0.500 0.000 Ho



What is the mass density in the first record? 10.20 g/cm³



What did the second record say?
K2SbAu, optimized geometry, DFT PBE; calculated volume = 135.5 Å³ per cell; magnetic moment = 0.00 μB per formula unit; ΔE_f (raw) = -0.135 eV/atom; space-group type = Pmmm (47); mass density = 4.86 g/cm³
1.0
3.118 0.000 0.000
0.000 6.329 0.000
0.000 0.000 6.869
K Sb Au
2 1 1
direct
0.000 0.000 0.000 K
0.500 0.500 0.500 K
0.000 0.000 0.500 Sb
0.500 0.500 0.000 Au



Among the records above, which one has the highest magnetic moment? Nd2EuHo